Here is an optimized crystal structure of Ac2Pr3Pb4 from Alexandria. Energies are from PBE.

Summary:
* ΔH_f (0 K): -4.432 eV/f.u.
* total magnetization: 0.00 μB per formula unit
* symmetry: Cmce (64)
* calculated total energy: -83.6 eV per cell

Unit cell a=7.498 b=9.422 c=9.847 alpha=90.00 beta=112.38 gamma=90.00
Element x y z (fractional)
Ac 0.110 0.587 0.221
Ac 0.890 0.413 0.779
Ac 0.390 0.087 0.779
Ac 0.610 0.913 0.221
Pr 0.000 0.000 0.000
Pr 0.500 0.500 0.000
Pr 0.543 0.750 0.586
Pr 0.957 0.250 0.414
Pr 0.457 0.250 0.414
Pr 0.043 0.750 0.586
Pb 0.717 0.750 0.935
Pb 0.783 0.250 0.065
Pb 0.283 0.250 0.065
Pb 0.217 0.750 0.935
Pb 0.185 0.945 0.370
Pb 0.815 0.055 0.630
Pb 0.315 0.445 0.630
Pb 0.685 0.555 0.370